# Rb2Cd3CoF12 (GGA+U, optimized geometry)
data_Rb2Cd3CoF12
_chemical_formula_sum 'Rb6 Cd9 Co3 F36'
_cell_length_a 7.6793
_cell_length_b 7.6793
_cell_length_c 19.2393
_cell_angle_alpha 90.00
_cell_angle_beta 90.00
_cell_angle_gamma 120.00
_symmetry_space_group_name_H-M 'R -3 m'
_symmetry_Int_Tables_number 166
_symmetry_space_group_name_Hall '-R 3 2"'
loop_
_atom_site_label
_atom_site_fract_x
_atom_site_fract_y
_atom_site_fract_z
Rb1 0.0000 0.0000 0.1280
Cd1 0.0000 0.5000 0.0000
Co1 0.0000 0.0000 0.5000
F1 0.0558 0.5279 0.3761
F2 0.1071 0.5536 0.1138
# DOS at the Fermi energy (states/eV/cell): 31.68
# Uncorrected energy (Ha/atom): -0.145